[1]
DFT (PBE) results for crystalline Mg2H3Ir3 at its relaxed geometry.

```
data_Mg2H3Ir3
_chemical_formula_sum 'Mg4 H6 Ir6'
_cell_length_a 7.8046
_cell_length_b 4.3919
_cell_length_c 5.4922
_cell_angle_alpha 90.00
_cell_angle_beta 92.43
_cell_angle_gamma 90.00
_space_group_name_H-M_alt 'C 1 m 1'
_space_group_IT_number 8
_space_group_name_Hall 'C -2y'
loop_
_atom_site_label
_atom_site_fract_x
_atom_site_fract_y
_atom_site_fract_z
Mg1 0.0000 0.0000 0.0000
Mg2 0.1765 0.5000 0.2984
H1 0.3129 0.0000 0.0402
H2 0.4238 0.2385 0.3220
Ir1 0.0068 0.0000 0.5044
Ir2 0.1595 0.5000 0.7798
Ir3 0.3309 0.0000 0.7560
```

ΔE to the lowest computed polymorph, meV per atom: 0
V, Å³/cell: 188
Size of the total moment, μB per formula unit: 0.0
D(E_F), states/eV/f.u.: 2.64

***

[2]
DFT (PBE) results for crystalline LiZrAs2 at its relaxed geometry.

```
data_LiZrAs2
_chemical_formula_sum 'Li2 Zr2 As4'
_cell_length_a 6.6506
_cell_length_b 3.7955
_cell_length_c 6.8598
_cell_angle_alpha 90.00
_cell_angle_beta 108.37
_cell_angle_gamma 90.00
_space_group_name_H-M_alt 'C 1 2/m 1'
_space_group_IT_number 12
_space_group_name_Hall '-C 2y'
loop_
_atom_site_label
_atom_site_fract_x
_atom_site_fract_y
_atom_site_fract_z
Li1 0.0000 0.0000 0.0000
Zr1 0.0000 0.5000 0.5000
As1 0.2486 0.0000 0.7487
```

ΔE to the lowest computed polymorph, meV per atom: 122
V, Å³/cell: 164
Size of the total moment, μB per formula unit: 0.0
D(E_F), states/eV/f.u.: 2.36
ΔH_f (0 K), eV per atom: -0.688

***

[3]
DFT (PBE) results for crystalline Dy2YHoP4 at its relaxed geometry.

```
data_Dy2YHoP4
_chemical_formula_sum 'Dy2 Y1 Ho1 P4'
_cell_length_a 6.9332
_cell_length_b 4.0050
_cell_length_c 6.9341
_cell_angle_alpha 90.00
_cell_angle_beta 109.47
_cell_angle_gamma 90.00
_space_group_name_H-M_alt 'P 1 2/m 1'
_space_group_IT_number 10
_space_group_name_Hall '-P 2y'
loop_
_atom_site_label
_atom_site_fract_x
_atom_site_fract_y
_atom_site_fract_z
Dy1 0.0000 0.0000 0.0000
Dy2 0.0000 0.5000 0.5000
Y1 0.5000 0.0000 0.5000
Ho1 0.5000 0.5000 0.0000
P1 0.2500 0.5000 0.2491
P2 0.2505 0.0000 0.7510
```

V, Å³/cell: 182
Size of the total moment, μB per formula unit: 0.0
D(E_F), states/eV/f.u.: 0.90
ΔH_f (0 K), eV per atom: -1.619

***

[4]
DFT (PBE) results for crystalline CaMgGe2Se at its relaxed geometry.

```
data_CaMgGe2Se
_chemical_formula_sum 'Ca1 Mg1 Ge2 Se1'
_cell_length_a 5.2918
_cell_length_b 5.2918
_cell_length_c 5.2703
_cell_angle_alpha 90.00
_cell_angle_beta 90.00
_cell_angle_gamma 90.00
_space_group_name_H-M_alt 'P 4/m m m'
_space_group_IT_number 123
_space_group_name_Hall '-P 4 2'
loop_
_atom_site_label
_atom_site_fract_x
_atom_site_fract_y
_atom_site_fract_z
Ca1 0.0000 0.0000 0.0000
Mg1 0.5000 0.5000 0.0000
Ge1 0.0000 0.5000 0.5000
Se1 0.0000 0.0000 0.5000
```

Energy relative to the elements, uncorrected, eV/atom: 0.085
V, Å³/cell: 148
Size of the total moment, μB per formula unit: 0.0
D(E_F), states/eV/f.u.: 2.02

***

[5]
DFT (PBE) results for crystalline Ho2NiB10 at its relaxed geometry.

```
data_Ho2NiB10
_chemical_formula_sum 'Ho4 Ni2 B20'
_cell_length_a 5.5430
_cell_length_b 11.0657
_cell_length_c 4.1378
_cell_angle_alpha 90.00
_cell_angle_beta 90.00
_cell_angle_gamma 90.00
_space_group_name_H-M_alt 'P b a m'
_space_group_IT_number 55
_space_group_name_Hall '-P 2 2ab'
loop_
_atom_site_label
_atom_site_fract_x
_atom_site_fract_y
_atom_site_fract_z
Ho1 0.1861 0.1373 0.0000
Ni1 0.0000 0.5000 0.5000
B1 0.0297 0.3132 0.5000
B2 0.1260 0.9591 0.5000
B3 0.1588 0.8016 0.5000
B4 0.2013 0.3858 0.1986
```

V, Å³/cell: 254
Size of the total moment, μB per formula unit: 0.0
D(E_F), states/eV/f.u.: 2.48
ΔH_f (0 K), eV per atom: -0.501

***

[6]
DFT (PBE) results for crystalline Dy2Er5Pd4 at its relaxed geometry.

```
data_Dy2Er5Pd4
_chemical_formula_sum 'Dy4 Er10 Pd8'
_cell_length_a 20.7888
_cell_length_b 3.3979
_cell_length_c 8.2489
_cell_angle_alpha 90.00
_cell_angle_beta 98.32
_cell_angle_gamma 90.00
_space_group_name_H-M_alt 'C 1 2/m 1'
_space_group_IT_number 12
_space_group_name_Hall '-C 2y'
loop_
_atom_site_label
_atom_site_fract_x
_atom_site_fract_y
_atom_site_fract_z
Dy1 0.0681 0.0000 0.1645
Er1 0.0000 0.5000 0.5000
Er2 0.1708 0.0000 0.5224
Er3 0.1829 0.0000 0.9214
Pd1 0.0560 0.0000 0.7802
Pd2 0.2412 0.0000 0.2565
```

V, Å³/cell: 577
Size of the total moment, μB per formula unit: 0.0
D(E_F), states/eV/f.u.: 8.17
ΔH_f (0 K), eV per atom: -0.330

***

[7]
DFT (PBE) results for crystalline NiMo2Se at its relaxed geometry.

```
data_NiMo2Se
_chemical_formula_sum 'Ni3 Mo6 Se3'
_cell_length_a 2.9304
_cell_length_b 2.9304
_cell_length_c 24.9875
_cell_angle_alpha 90.00
_cell_angle_beta 90.00
_cell_angle_gamma 120.00
_space_group_name_H-M_alt 'R 3 m'
_space_group_IT_number 160
_space_group_name_Hall 'R 3 -2"'
loop_
_atom_site_label
_atom_site_fract_x
_atom_site_fract_y
_atom_site_fract_z
Ni1 0.0000 0.0000 0.0000
Mo1 0.0000 0.0000 0.2543
Mo2 0.0000 0.0000 0.4941
Se1 0.0000 0.0000 0.7515
```

Energy relative to the elements, uncorrected, eV/atom: 0.249
V, Å³/cell: 186
Size of the total moment, μB per formula unit: 0.0
D(E_F), states/eV/f.u.: 3.76

***

[8]
DFT (PBE) results for crystalline NpH2O6 at its relaxed geometry.

```
data_NpH2O6
_chemical_formula_sum 'Np1 H2 O6'
_cell_length_a 3.4561
_cell_length_b 5.0127
_cell_length_c 8.4886
_cell_angle_alpha 90.83
_cell_angle_beta 98.07
_cell_angle_gamma 100.17
_space_group_name_H-M_alt 'P -1'
_space_group_IT_number 2
_space_group_name_Hall '-P 1'
loop_
_atom_site_label
_atom_site_fract_x
_atom_site_fract_y
_atom_site_fract_z
Np1 0.0000 0.0000 0.0000
H1 0.3564 0.4614 0.1697
O1 0.1276 0.3119 0.1696
O2 0.4050 0.8871 0.4770
O3 0.4319 0.1746 0.8958
```

E_tot, eV per cell: -62.46
V, Å³/cell: 143
Size of the total moment, μB per formula unit: 3.0
D(E_F), states/eV/f.u.: 0.62

***

[9]
DFT (PBE) results for crystalline BeAlAg2 at its relaxed geometry.

```
data_BeAlAg2
_chemical_formula_sum 'Be3 Al3 Ag6'
_cell_length_a 2.8713
_cell_length_b 2.8713
_cell_length_c 25.4867
_cell_angle_alpha 90.00
_cell_angle_beta 90.00
_cell_angle_gamma 120.00
_space_group_name_H-M_alt 'R -3 m'
_space_group_IT_number 166
_space_group_name_Hall '-R 3 2"'
loop_
_atom_site_label
_atom_site_fract_x
_atom_site_fract_y
_atom_site_fract_z
Be1 0.0000 0.0000 0.0000
Al1 0.0000 0.0000 0.5000
Ag1 0.0000 0.0000 0.2573
```

ΔE to the lowest computed polymorph, meV per atom: 101
V, Å³/cell: 182
Size of the total moment, μB per formula unit: 0.0
D(E_F), states/eV/f.u.: 1.36
ΔH_f (0 K), eV per atom: 0.167

***

[10]
DFT (PBE) results for crystalline Cs2FeI6 at its relaxed geometry.

```
data_Cs2FeI6
_chemical_formula_sum 'Cs8 Fe4 I24'
_cell_length_a 11.5750
_cell_length_b 11.5750
_cell_length_c 11.5750
_cell_angle_alpha 90.00
_cell_angle_beta 90.00
_cell_angle_gamma 90.00
_space_group_name_H-M_alt 'F m -3 m'
_space_group_IT_number 225
_space_group_name_Hall '-F 4 2 3'
loop_
_atom_site_label
_atom_site_fract_x
_atom_site_fract_y
_atom_site_fract_z
Cs1 0.2500 0.2500 0.2500
Fe1 0.0000 0.0000 0.0000
I1 0.0000 0.0000 0.2361
```

Energy relative to the elements, uncorrected, eV/atom: -0.720
V, Å³/cell: 1551
Size of the total moment, μB per formula unit: 3.4
D(E_F), states/eV/f.u.: 7.11

***

[11]
DFT (PBE) results for crystalline Li2LaP at its relaxed geometry.

```
data_Li2LaP
_chemical_formula_sum 'Li4 La2 P2'
_cell_length_a 13.4840
_cell_length_b 4.1374
_cell_length_c 4.1374
_cell_angle_alpha 90.00
_cell_angle_beta 107.19
_cell_angle_gamma 90.00
_space_group_name_H-M_alt 'C 1 2/m 1'
_space_group_IT_number 12
_space_group_name_Hall '-C 2y'
loop_
_atom_site_label
_atom_site_fract_x
_atom_site_fract_y
_atom_site_fract_z
Li1 0.1895 0.0000 0.1900
La1 0.0000 0.5000 0.5000
P1 0.0000 0.0000 0.0000
```

V, Å³/cell: 221
Size of the total moment, μB per formula unit: 0.0
D(E_F), states/eV/f.u.: 3.40
ΔH_f (0 K), eV per atom: -0.609